Entry 1:
4
Lattice="-1.648 2.362 4.721 1.648 -2.362 4.721 1.648 2.362 -4.721" Properties=species:S:1:pos:R:3 comment="HfTa2Mo (PBE-GGA, optimized geometry)" e_tot_ev_per_cell=-44.79 rho_g_cm3=14.4 space_group="No. 71" magnetic_moment_mub_per_cell=0.00 n_ef_per_ev_fu=3.744 pbc="T T T"
Hf 0.000 0.000 0.000
Ta 1.648 0.000 2.523
Ta 0.000 2.362 2.198
Mo 0.000 0.000 4.721

***

Entry 2:
9
Lattice="5.248 -1.632 0.000 5.248 1.632 0.000 -3.231 0.000 9.476" Properties=species:S:1:pos:R:3 comment="HfTa6Mo2 (PBE-GGA, optimized geometry)" e_tot_ev_per_cell=-103.49 rho_g_cm3=14.9 space_group="No. 12" magnetic_moment_mub_per_cell=0.00 n_ef_per_ev_fu=9.124 pbc="T T T"
Hf 0.000 0.000 0.000
Ta -0.990 0.000 3.148
Ta 2.991 0.000 1.126
Ta 2.063 0.000 4.133
Ta 5.201 0.000 5.343
Ta 4.273 0.000 8.350
Ta 8.254 0.000 6.328
Mo 0.986 0.000 7.314
Mo 6.279 0.000 2.162

***

Entry 3:
4
Lattice="1.557 0.899 9.031 -1.557 0.899 9.031 0.000 -1.798 9.031" Properties=species:S:1:pos:R:3 comment="HfTa2Mo (PBE-GGA, optimized geometry)" e_tot_ev_per_cell=-43.64 rho_g_cm3=13.9 space_group="No. 166" magnetic_moment_mub_per_cell=0.00 n_ef_per_ev_fu=5.720 pbc="T T T"
Hf 0.000 0.000 0.000
Ta 0.000 0.000 6.563
Ta 0.000 0.000 20.531
Mo 0.000 0.000 13.547